No. 1
# Ba2VGaO6 | the Alexandria database | GGA+U | relaxed
data_Ba2VGaO6
_chemical_formula_sum 'Ba12 V6 Ga6 O36'
_cell_length_a 5.7634
_cell_length_b 5.7634
_cell_length_c 28.1217
_cell_angle_alpha 90.00
_cell_angle_beta 90.00
_cell_angle_gamma 120.00
_symmetry_space_group_name_H-M 'R -3 m'
_symmetry_Int_Tables_number 166
_symmetry_space_group_name_Hall '-R 3 2"'
loop_
_atom_site_label
_atom_site_type_symbol
_atom_site_fract_x
_atom_site_fract_y
_atom_site_fract_z
_atom_site_occupancy
Ba1 Ba 0.0000 0.0000 0.1288 1
Ba2 Ba 0.0000 0.0000 0.2846 1
V1 V 0.0000 0.0000 0.0000 1
V2 V 0.0000 0.0000 0.5000 1
Ga1 Ga 0.0000 0.0000 0.4066 1
O1 O 0.0142 0.5071 0.7057 1
O2 O 0.0315 0.5157 0.1249 1
# - magnetization (μB per formula unit) = 0.000
# - volume (Å³ per atom) = 13.48
# - electronic total energy (eV/cell) = -402.0


No. 2
# Ba2VGa2O6 | the Alexandria database | GGA+U | relaxed
data_Ba2VGa2O6
_chemical_formula_sum 'Ba6 V3 Ga6 O18'
_cell_length_a 5.7434
_cell_length_b 5.7434
_cell_length_c 19.2028
_cell_angle_alpha 90.00
_cell_angle_beta 90.00
_cell_angle_gamma 120.00
_symmetry_space_group_name_H-M 'R -3 m'
_symmetry_Int_Tables_number 166
_symmetry_space_group_name_Hall '-R 3 2"'
loop_
_atom_site_label
_atom_site_type_symbol
_atom_site_fract_x
_atom_site_fract_y
_atom_site_fract_z
_atom_site_occupancy
Ba1 Ba 0.0000 0.0000 0.2310 1
V1 V 0.0000 0.0000 0.5000 1
Ga1 Ga 0.0000 0.0000 0.0628 1
O1 O 0.0042 0.5021 0.2253 1
# - magnetization (μB per formula unit) = 1.000
# - volume (Å³ per atom) = 16.62
# - electronic total energy (eV/cell) = -209.1


No. 3
# Ba3VGa2O8 | the Alexandria database | GGA+U | relaxed
data_Ba3VGa2O8
_chemical_formula_sum 'Ba3 V1 Ga2 O8'
_cell_length_a 5.7485
_cell_length_b 5.7485
_cell_length_c 7.4776
_cell_angle_alpha 90.00
_cell_angle_beta 90.00
_cell_angle_gamma 120.00
_symmetry_space_group_name_H-M 'P -3 m 1'
_symmetry_Int_Tables_number 164
_symmetry_space_group_name_Hall '-P 3 2"'
loop_
_atom_site_label
_atom_site_type_symbol
_atom_site_fract_x
_atom_site_fract_y
_atom_site_fract_z
_atom_site_occupancy
Ba1 Ba 0.0000 0.0000 0.0000 1
Ba2 Ba 0.3333 0.6667 0.6627 1
V1 V 0.0000 0.0000 0.5000 1
Ga1 Ga 0.3333 0.6667 0.2310 1
O1 O 0.1606 0.3212 0.3406 1
O2 O 0.3333 0.6667 0.9936 1
# - magnetization (μB per formula unit) = 1.000
# - volume (Å³ per atom) = 15.29
# - electronic total energy (eV/cell) = -90.4


- Which of these has the lowest volume?
  Ba2VGaO6